Here is crystalline Hf2TcOs at its relaxed geometry from the Alexandria database. Energies are from PBE-GGA.

```
Hf2TcOs
1.0
0.0000 3.2548 3.2548
3.2548 0.0000 3.2548
3.2548 3.2548 0.0000
Hf Tc Os
2 1 1
Cartesian
1.6274 1.6274 1.6274 Hf
4.8823 4.8823 4.8823 Hf
0.0000 0.0000 0.0000 Tc
3.2548 3.2548 3.2548 Os
```

Its polymorph energy (0 for the lowest one) is 0 meV/atom. Its volume is 68.96 Å³ per cell.

***

Here is crystalline HfTcOs2 at its relaxed geometry from the Alexandria database. Energies are from PBE-GGA.

```
HfTcOs2
1.0
0.0000 3.1719 3.1719
3.1719 0.0000 3.1719
3.1719 3.1719 0.0000
Hf Tc Os
1 1 2
Cartesian
0.0000 0.0000 0.0000 Hf
3.1719 3.1719 3.1719 Tc
1.5860 1.5860 1.5860 Os
4.7579 4.7579 4.7579 Os
```

Its polymorph energy (0 for the lowest one) is 0 meV/atom. Its volume is 63.83 Å³ per cell.

***

Here is crystalline Hf2TcOs at its relaxed geometry from the Alexandria database. Energies are from PBE-GGA.

```
Hf2TcOs
1.0
-3.6093 3.6093 2.8577
3.6093 -3.6093 2.8577
3.6093 3.6093 -2.8577
Hf Tc Os
4 2 2
Cartesian
5.4140 1.7744 -0.7144 Hf
1.7744 1.8047 0.7144 Hf
-1.8047 1.8349 2.1433 Hf
1.8349 1.8047 3.5721 Hf
3.6093 0.0000 1.4289 Tc
0.0000 0.0000 2.8577 Tc
0.0000 0.0000 0.0000 Os
0.0000 3.6093 1.4289 Os
```

Its polymorph energy (0 for the lowest one) is 906 meV/atom. Its volume is 148.91 Å³ per cell.

***

Here is crystalline Hf8Tc2Os at its relaxed geometry from the Alexandria database. Energies are from PBE-GGA.

```
Hf8Tc2Os
1.0
7.8758 -2.2937 0.0000
7.8758 2.2937 0.0000
-1.9699 0.0000 6.1446
Hf Tc Os
8 2 1
Cartesian
-0.1721 0.0000 1.6133 Hf
1.5349 0.0000 4.8462 Hf
4.1915 0.0000 3.3969 Hf
6.2830 0.0000 0.2812 Hf
7.4987 0.0000 5.8633 Hf
9.5903 0.0000 2.7476 Hf
12.2468 0.0000 1.2984 Hf
13.9538 0.0000 4.5312 Hf
2.5257 0.0000 1.1601 Tc
11.2561 0.0000 4.9845 Tc
6.8909 0.0000 3.0723 Os
```

The electronic total energy comes out at -10.36 eV per atom. Its volume is 222.01 Å³ per cell.

***

Here is crystalline Hf4TcOs at its relaxed geometry from the Alexandria database. Energies are from PBE-GGA.

```
Hf4TcOs
1.0
2.2576 1.3034 7.3727
-2.2576 1.3034 7.3727
0.0000 -2.6068 7.3727
Hf Tc Os
4 1 1
Cartesian
0.0000 0.0000 2.7613 Hf
0.0000 0.0000 8.2916 Hf
0.0000 0.0000 13.8266 Hf
0.0000 0.0000 19.3570 Hf
0.0000 0.0000 0.0000 Tc
0.0000 0.0000 11.0591 Os
```

Its polymorph energy (0 for the lowest one) is 182 meV/atom. Its volume is 130.22 Å³ per cell.

***

Here is crystalline HfTcOs at its relaxed geometry from the Alexandria database. Energies are from PBE-GGA.

```
HfTcOs
1.0
4.8107 -2.1424 0.0000
4.8107 2.1424 0.0000
-4.2861 0.0000 5.1238
Hf Tc Os
2 2 2
Cartesian
-0.7456 0.0000 1.6145 Hf
6.0809 0.0000 3.5094 Hf
-0.6552 0.0000 4.7417 Tc
5.9905 0.0000 0.3822 Tc
1.9626 0.0000 1.4944 Os
3.3727 0.0000 3.6295 Os
```

The electronic total energy comes out at -10.72 eV per atom. Its volume is 105.62 Å³ per cell.

***

Here is crystalline Hf4TcOs at its relaxed geometry from the Alexandria database. Energies are from PBE-GGA.

```
Hf4TcOs
1.0
3.2894 0.0000 0.0000
0.0000 3.2894 0.0000
0.0000 0.0000 10.4546
Hf Tc Os
4 1 1
Cartesian
0.0000 0.0000 1.5611 Hf
0.0000 0.0000 8.8935 Hf
1.6447 1.6447 3.6349 Hf
1.6447 1.6447 6.8197 Hf
1.6447 1.6447 0.0000 Tc
0.0000 0.0000 5.2273 Os
```

Its polymorph energy (0 for the lowest one) is 0 meV/atom. Its volume is 113.12 Å³ per cell.

***

Here is crystalline Hf2TcOs at its relaxed geometry from the Alexandria database. Energies are from PBE-GGA.

```
Hf2TcOs
1.0
4.6032 0.0000 0.0000
0.0000 4.6032 0.0000
0.0000 0.0000 3.2514
Hf Tc Os
2 1 1
Cartesian
0.0000 2.3016 0.0000 Hf
2.3016 0.0000 0.0000 Hf
0.0000 0.0000 1.6257 Tc
2.3016 2.3016 1.6257 Os
```

Its polymorph energy (0 for the lowest one) is 3 meV/atom. Its volume is 68.89 Å³ per cell.

***

Here is crystalline Hf6Tc5Os at its relaxed geometry from the Alexandria database. Energies are from PBE-GGA.

```
Hf6Tc5Os
1.0
-2.3072 3.2556 6.9239
2.3072 -3.2556 6.9239
2.3072 3.2556 -6.9239
Hf Tc Os
6 5 1
Cartesian
2.3072 1.6285 -2.3048 Hf
0.0000 1.6286 0.0000 Hf
2.3072 1.6285 2.3048 Hf
0.0000 1.6271 4.6191 Hf
0.0000 4.8826 0.0000 Hf
0.0000 1.6271 9.2287 Hf
0.0000 0.0000 2.3053 Tc
2.3072 0.0000 4.6149 Tc
0.0000 0.0000 6.9239 Tc
0.0000 3.2556 2.3090 Tc
0.0000 0.0000 11.5425 Tc
2.3072 0.0000 0.0000 Os
```

The electronic total energy comes out at -10.76 eV per atom. Its volume is 208.03 Å³ per cell.

***

Here is crystalline TmHfTcOs at its relaxed geometry from the Alexandria database. Energies are from PBE-GGA.

```
TmHfTcOs
1.0
0.0000 3.3100 3.3100
3.3100 0.0000 3.3100
3.3100 3.3100 0.0000
Tm Hf Tc Os
1 1 1 1
Cartesian
0.0000 0.0000 0.0000 Tm
3.3100 3.3100 3.3100 Hf
1.6550 1.6550 1.6550 Tc
4.9650 4.9650 4.9650 Os
```

The electronic total energy comes out at -9.30 eV per atom. Its volume is 72.53 Å³ per cell.

***

Here is crystalline HfTcOsW at its relaxed geometry from the Alexandria database. Energies are from PBE-GGA.

```
HfTcOsW
1.0
0.0000 3.1881 3.1881
3.1881 0.0000 3.1881
3.1881 3.1881 0.0000
Hf Tc Os W
1 1 1 1
Cartesian
0.0000 0.0000 0.0000 Hf
4.7822 4.7822 4.7822 Tc
1.5941 1.5941 1.5941 Os
3.1881 3.1881 3.1881 W
```

The electronic total energy comes out at -11.37 eV per atom. Its volume is 64.81 Å³ per cell.

***

Here is crystalline HfTeOs2 at its relaxed geometry from the Alexandria database. Energies are from PBE-GGA.

```
HfTeOs2
1.0
-2.9148 2.9148 6.1191
2.9148 -2.9148 6.1191
2.9148 2.9148 -6.1191
Hf Te Os
2 2 4
Cartesian
0.0000 0.0000 0.0000 Hf
0.0000 2.9148 3.0595 Hf
2.9148 0.0000 3.0595 Te
0.0000 0.0000 6.1191 Te
1.4574 -1.4154 4.5893 Os
1.4994 1.4574 1.5298 Os
1.4574 4.3302 -1.5298 Os
1.4154 1.4574 7.6489 Os
```

The calculation puts the formation energy (no corrections) at 983.8 meV/atom. Its volume is 207.95 Å³ per cell.

***

Magnetization / μB/f.u.: 0.0; 0.0; 0.0; 0.0; 0.0; 0.0; 0.0; 0.0; 0.0; 0.0; 0.0; 0.0